Arrangement i

This record from the Alexandria database describes a geometry-optimized Ce2Zn2Ag structure. The functional is PBE.

```
Ce2Zn2Ag
1.0
5.261 -2.331 0.000
5.261 2.331 0.000
-2.271 0.000 8.865
Ce Zn Ag
4 4 2
direct
0.054 0.054 0.376
0.184 0.184 0.051
0.816 0.816 0.949
0.946 0.946 0.624
0.368 0.368 0.391
0.491 0.491 0.138
0.509 0.509 0.862
0.632 0.632 0.609
0.258 0.258 0.698
0.742 0.742 0.302
```

Properties
The calculation puts the magnetic moment at 0.2288 μB per atom.

***

Arrangement ii

This record from the Alexandria database describes a geometry-optimized Ce2Zn2Ag structure. The functional is PBE.

```
Ce2Zn2Ag
1.0
4.710 0.000 0.000
0.000 13.811 0.000
0.000 0.000 3.308
Ce Zn Ag
4 4 2
direct
0.000 0.107 0.000
0.000 0.893 0.000
0.500 0.393 0.000
0.500 0.607 0.000
0.000 0.299 0.500
0.000 0.701 0.500
0.500 0.201 0.500
0.500 0.799 0.500
0.000 0.500 0.500
0.500 0.000 0.500
```

Properties
The calculation puts the magnetic moment at 0.3452 μB per atom.

***

Of them, arrangement i has the highest stability.

***

Arrangement i

This record from the Alexandria database describes a geometry-optimized Ce2Zn2Ag3 structure. The functional is PBE.

```
Ce2Zn2Ag3
1.0
11.226 0.000 0.000
0.000 3.822 0.000
-0.902 0.000 7.089
Ce Zn Ag
4 4 6
direct
0.139 0.000 0.329
0.361 0.500 0.671
0.639 0.500 0.329
0.861 0.000 0.671
0.081 0.500 0.652
0.419 0.000 0.348
0.581 0.000 0.652
0.919 0.500 0.348
0.000 0.500 0.000
0.180 0.000 0.877
0.320 0.500 0.123
0.500 0.000 0.000
0.680 0.500 0.877
0.820 0.000 0.123
```

Properties
The calculation puts the magnetic moment at 0.3153 μB per atom.

***

Arrangement ii

This record from the Alexandria database describes a geometry-optimized Ce2Zn2Ag3 structure. The functional is PBE.

```
Ce2Zn2Ag3
1.0
2.141 -9.868 0.000
2.141 9.868 0.000
0.000 0.000 7.474
Ce Zn Ag
4 4 6
direct
0.061 0.939 0.750
0.161 0.839 0.250
0.839 0.161 0.750
0.939 0.061 0.250
0.310 0.690 0.058
0.310 0.690 0.442
0.690 0.310 0.558
0.690 0.310 0.942
0.225 0.775 0.750
0.436 0.564 0.565
0.436 0.564 0.935
0.564 0.436 0.065
0.564 0.436 0.435
0.775 0.225 0.250
```

Properties
The calculation puts the magnetic moment at 0.3198 μB per atom.

***

Of them, arrangement ii has the highest stability.